[1]
# Tm3Cd3Au2 PBE relaxed
data_Tm3Cd3Au2
_chemical_formula_sum 'Tm3 Cd3 Au2'
_symmetry_space_group_name_H-M 'P -6 2 m'
_symmetry_Int_Tables_number 189
_symmetry_space_group_name_Hall 'P -6 -2'
_cell_length_a 7.6651
_cell_length_b 7.6651
_cell_length_c 3.7164
_cell_angle_alpha 90.00
_cell_angle_beta 90.00
_cell_angle_gamma 120.00
loop_
_atom_site_label
_atom_site_fract_x
_atom_site_fract_y
_atom_site_fract_z
Tm1 0.0000 0.4181 0.0000
Cd1 0.0000 0.7749 0.5000
Au1 0.3333 0.6667 0.5000
# M_tot in μB/f.u.: 0.00

[2]
# AcNd2C2N6 PBE relaxed
data_AcNd2C2N6
_chemical_formula_sum 'Ac1 Nd2 C2 N6'
_symmetry_space_group_name_H-M 'P -3'
_symmetry_Int_Tables_number 147
_symmetry_space_group_name_Hall '-P 3'
_cell_length_a 5.9742
_cell_length_b 5.9742
_cell_length_c 5.2279
_cell_angle_alpha 90.00
_cell_angle_beta 90.00
_cell_angle_gamma 120.00
loop_
_atom_site_label
_atom_site_fract_x
_atom_site_fract_y
_atom_site_fract_z
Ac1 0.0000 0.0000 0.0000
Nd1 0.3333 0.6667 0.2869
C1 0.3333 0.6667 0.7696
N1 0.1200 0.4253 0.7609
# Uncorrected formation energy in eV/atom: -0.60
# M_tot in μB/f.u.: 1.05

[3]
# Ba2CaSi PBE relaxed
data_Ba2CaSi
_chemical_formula_sum 'Ba4 Ca2 Si2'
_symmetry_space_group_name_H-M 'A m m 2'
_symmetry_Int_Tables_number 38
_symmetry_space_group_name_Hall 'A 2 -2'
_cell_length_a 4.604
_cell_length_b 5.284
_cell_length_c 14.417
_cell_angle_alpha 90.00
_cell_angle_beta 90.00
_cell_angle_gamma 90.00
loop_
_atom_site_label
_atom_site_fract_x
_atom_site_fract_y
_atom_site_fract_z
Ba1 0.000 0.000 0.000
Ba2 0.500 0.000 0.320
Ca1 0.000 0.000 0.677
Si1 0.500 0.000 0.548
# Uncorrected formation energy in eV/atom: -0.10
# Energy relative to the lowest polymorph listed for this composition in kJ/mol of formula units: 17
# M_tot in μB/f.u.: 0.00

[4]
# KBe2Ir PBE relaxed
data_KBe2Ir
_chemical_formula_sum 'K2 Be4 Ir2'
_symmetry_space_group_name_H-M 'I -4 m 2'
_symmetry_Int_Tables_number 119
_symmetry_space_group_name_Hall 'I -4 -2'
_cell_length_a 3.906
_cell_length_b 3.906
_cell_length_c 8.267
_cell_angle_alpha 90.00
_cell_angle_beta 90.00
_cell_angle_gamma 90.00
loop_
_atom_site_label
_atom_site_fract_x
_atom_site_fract_y
_atom_site_fract_z
K1 0.000 0.000 0.000
Be1 0.000 0.000 0.500
Be2 0.000 0.500 0.750
Ir1 0.000 0.500 0.250
# Energy relative to the lowest polymorph listed for this composition in kJ/mol of formula units: 477
# M_tot in μB/f.u.: 0.00

| no. | raw total energy (eV/atom) |
| --- | --- |
| 1 | -3.43 |
| 2 | -8.06 |
| 3 | -2.91 |
| 4 | -3.19 |